FeMo2H7O11 | GGA+U | relaxed

Values from the calculation:
total energy = -5.9357 eV per atom

a = 5.851 Å, b = 6.174 Å, c = 7.931 Å
α = 98.40°, β = 110.75°, γ = 105.84°
Element x y z (fractional)
1 Fe 0.976 0.478 0.491
2 Mo 0.648 0.561 0.790
3 Mo 0.316 0.444 0.209
4 H 0.218 0.839 0.403
5 H 0.929 0.774 0.264
6 H 0.990 0.058 0.538
7 H 0.027 0.225 0.732
8 H 0.635 0.923 0.031
9 H 0.571 0.144 0.139
10 H 0.538 0.117 0.918
11 O 0.040 0.799 0.400
12 O 0.945 0.186 0.591
13 O 0.782 0.744 0.026
14 O 0.168 0.343 0.963
15 O 0.521 0.025 0.015
16 O 0.875 0.622 0.680
17 O 0.361 0.622 0.659
18 O 0.074 0.329 0.300
19 O 0.606 0.350 0.297
20 O 0.555 0.263 0.787
21 O 0.418 0.749 0.279